1.
A plane-wave DFT calculation with GGA-PBE was carried out for an optimized crystal structure of Nd3SbPb.

The space group is P2_1/m (No. 11) and the conventional cell measures 8.854, 4.494 and 10.041 Å, with angles of 90.00, 115.84 and 90.00 degrees. The distinct sites, in fractional coordinates, are Nd at (0.048, 0.250, 0.351), Nd at (0.166, 0.250, 0.992), Nd at (0.434, 0.750, 0.629), Sb at (0.229, 0.250, 0.703) and Pb at (0.256, 0.750, 0.254).

As for the total magnetization: 2.6 μB per cell. As for the final energy: -5.04 eV per atom. Its calculated density is 7.04 Mg/m³. The formation energy without anion corrections comes out at -0.6168 eV/atom.

***

2.
A plane-wave DFT calculation with GGA-PBE was carried out for an optimized crystal structure of K4FeTe.

The space group is F-43m (No. 216) and the conventional cell measures 10.017, 10.017 and 10.017 Å, with angles of 90.00, 90.00 and 90.00 degrees. The distinct sites, in fractional coordinates, are K at (0.123, 0.123, 0.123), Fe at (0.000, 0.000, 0.500) and Te at (0.250, 0.250, 0.750).

As for the total magnetization: 10.8 μB per cell. As for the final energy: -2.16 eV per atom. Its calculated density is 2.25 Mg/m³. The formation energy without anion corrections comes out at 0.5071 eV/atom.

***

3.
A plane-wave DFT calculation with GGA-PBE was carried out for an optimized crystal structure of Cs4BaPa3O12.

The space group is Im-3m (No. 229) and the conventional cell measures 9.232, 9.232 and 9.232 Å, with angles of 90.00, 90.00 and 90.00 degrees. The distinct sites, in fractional coordinates, are Cs at (0.250, 0.250, 0.250), Ba at (0.000, 0.000, 0.000), Pa at (0.000, 0.000, 0.500), O at (0.000, 0.000, 0.284) and O at (0.000, 0.250, 0.500).

As for the total magnetization: 4.7 μB per cell. As for the final energy: -7.28 eV per atom. Its calculated density is 6.56 Mg/m³. The formation energy without anion corrections comes out at -2.6122 eV/atom.

***

- Look up the calculated density of the second one.
  2.25 Mg/m³

***

- Number 3 is which compound?
  Cs4BaPa3O12

***

- Among the records above, which one has the lowest final energy?
  Cs4BaPa3O12